BeSb2Pd6 | PBE-GGA | relaxed

abc: 3.482 6.923 6.923
angles: 120.00 90.00 90.00
Atoms (fractional coordinates):
Be1 0.500 0.000 0.000
Sb1 0.000 0.333 0.667
Sb2 0.000 0.667 0.333
Pd1 0.500 0.622 0.000
Pd2 0.500 0.378 0.378
Pd3 0.500 0.000 0.622
Pd4 0.000 0.242 0.000
Pd5 0.000 0.758 0.758
Pd6 0.000 0.000 0.242

Computed properties:
Crystal system = hexagonal
Density of states at the Fermi level = 0.3290 states/eV/atom
DFT total energy = -5.2664 eV/atom
Space-group type = P-62m

---

Pr4MgAl2 | PBE-GGA | relaxed

abc: 7.779 6.430 9.273
angles: 90.00 116.18 90.00
Atoms (fractional coordinates):
Pr1 0.583 0.493 0.225
Pr2 0.941 0.750 0.768
Pr3 0.059 0.250 0.232
Pr4 0.583 0.007 0.225
Pr5 0.941 0.250 0.573
Pr6 0.417 0.993 0.775
Pr7 0.417 0.507 0.775
Pr8 0.059 0.750 0.427
Mg1 0.201 0.750 0.143
Mg2 0.799 0.250 0.857
Al1 0.798 0.750 0.042
Al2 0.202 0.250 0.958
Al3 0.496 0.250 0.507
Al4 0.504 0.750 0.493

Computed properties:
Offset from the most stable computed form = 150.4 meV/atom
Crystal system = monoclinic
Density of states at the Fermi level = 1.0698 states/eV/atom
DFT total energy = -4.0648 eV/atom
Space-group type = P2_1/m
Energy relative to the elements = -0.037 eV/atom

---

Ho5AsS5 | PBE-GGA | relaxed

abc: 5.554 7.863 6.795
angles: 106.78 114.12 90.00
Atoms (fractional coordinates):
Ho1 0.162 0.824 0.324
Ho2 0.166 0.339 0.333
Ho3 0.500 0.000 0.000
Ho4 0.834 0.661 0.667
Ho5 0.838 0.176 0.676
As1 0.000 0.000 0.000
S1 0.332 0.668 0.664
S2 0.328 0.160 0.657
S3 0.000 0.500 0.000
S4 0.672 0.840 0.343
S5 0.668 0.332 0.336

Computed properties:
Crystal system = monoclinic
Density of states at the Fermi level = 0.2814 states/eV/atom
DFT total energy = -6.3517 eV/atom
Space-group type = C2/m

---

InAgW2 | PBE-GGA | relaxed

abc: 2.790 2.790 9.130
angles: 90.00 90.00 90.00
Atoms (fractional coordinates):
Ag1 0.000 0.000 0.490
W1 0.000 0.000 0.006
W2 0.500 0.500 0.248
In1 0.500 0.500 0.755

Computed properties:
Crystal system = tetragonal
Density of states at the Fermi level = 0.7387 states/eV/atom
DFT total energy = -7.3394 eV/atom
Space-group type = P4mm
Energy relative to the elements = 0.535 eV/atom

---

RbLa2C2N6 | PBE-GGA | relaxed

abc: 6.502 6.174 6.446
angles: 108.92 90.12 58.07
Each line ends with the local moment (μB).
Atoms (fractional coordinates):
Rb1 0.500 0.000 0.500  0.00
La1 0.831 0.338 0.797  0.02
La2 0.169 0.662 0.203  0.02
C1 0.167 0.664 0.744  -0.01
C2 0.833 0.336 0.256  -0.01
N1 0.387 0.570 0.806  0.17
N2 0.959 0.429 0.193  0.17
N3 0.080 0.838 0.636  0.00
N4 0.041 0.571 0.807  0.17
N5 0.920 0.162 0.364  0.00
N6 0.613 0.430 0.194  0.17

Computed properties:
Crystal system = triclinic
Density of states at the Fermi level = 0.3490 states/eV/atom
DFT total energy = -7.5732 eV/atom
Space-group type = P-1

---

PmPu2Zr | PBE-GGA | relaxed

abc: 4.840 4.703 4.703
angles: 90.00 90.00 90.00
Each line ends with the local moment (μB).
Atoms (fractional coordinates):
Pm1 0.500 0.000 0.000  0.05
Zr1 0.500 0.500 0.500  -0.07
Pu1 0.000 0.000 0.500  5.36
Pu2 0.000 0.500 0.000  5.36

Computed properties:
Crystal system = tetragonal
Density of states at the Fermi level = 3.5303 states/eV/atom
DFT total energy = -10.2503 eV/atom
Space-group type = P4/mmm
Energy relative to the elements = 0.240 eV/atom

---

CeRe3Si2 | PBE-GGA | relaxed

abc: 4.222 7.681 7.576
angles: 117.03 90.00 105.95
Atoms (fractional coordinates):
Ce1 0.853 0.707 0.938
Ce2 0.147 0.293 0.062
Re1 0.297 0.595 0.529
Re2 0.955 0.910 0.617
Re3 0.590 0.181 0.664
Re4 0.410 0.819 0.336
Re5 0.045 0.090 0.383
Re6 0.703 0.405 0.471
Si1 0.478 0.956 0.822
Si2 0.522 0.044 0.178
Si3 0.807 0.615 0.279
Si4 0.193 0.385 0.721

Computed properties:
Crystal system = monoclinic
Density of states at the Fermi level = 0.5675 states/eV/atom
DFT total energy = -9.4112 eV/atom
Space-group type = C2/m

---

Sr2ZnAu2 | PBE-GGA | relaxed

abc: 4.629 6.193 10.407
angles: 86.54 77.15 68.05
Atoms (fractional coordinates):
Sr1 0.673 0.314 0.340
Sr2 0.921 0.269 0.889
Sr3 0.327 0.686 0.660
Sr4 0.079 0.731 0.111
Zn1 0.632 0.090 0.646
Zn2 0.368 0.910 0.354
Au1 0.084 0.265 0.567
Au2 0.636 0.850 0.878
Au3 0.916 0.735 0.433
Au4 0.364 0.150 0.122

Computed properties:
Crystal system = monoclinic
Density of states at the Fermi level = 0.5262 states/eV/atom
DFT total energy = -2.8904 eV/atom
Space-group type = C2/m
Energy relative to the elements = -0.652 eV/atom

---

Result set for M_tot: 0.00 0.00 0.00 0.00 1.03 11.41 0.00 0.00 Bohr magnetons per cell, one per record in the order listed.